{"formula": "Pm4NdDy2Mg", "functional": "PBE-GGA", "state": "optimized geometry", "lattice": [[-2.170, -3.156, 4.425], [2.890, -8.045, -4.321], [5.145, -2.718, 0.585]], "species": ["Dy", "Dy", "Pm", "Pm", "Pm", "Pm", "Mg", "Nd"], "frac_coords": [[0.000, 0.000, 0.000], [0.500, 0.000, 0.500], [0.000, 0.743, 0.757], [0.500, 0.742, 0.258], [0.000, 0.257, 0.243], [0.500, 0.258, 0.742], [0.000, 0.500, 0.500], [0.500, 0.500, 0.000]], "e_form_mev_per_atom": 69, "dos_ef_per_ev_atom": 1.59}

=====

{"formula": "Pm2Nd4Dy2Mg", "functional": "PBE-GGA", "state": "optimized geometry", "lattice": [[6.863, 0.777, 0.400], [-0.387, 7.680, 1.499], [-2.950, -3.221, 5.063]], "species": ["Nd", "Nd", "Nd", "Nd", "Pm", "Pm", "Mg", "Dy", "Dy"], "frac_coords": [[0.341, 0.342, 0.528], [0.659, 0.658, 0.472], [0.618, 0.786, 0.003], [0.382, 0.214, 0.997], [0.157, 0.815, 0.466], [0.843, 0.185, 0.534], [0.000, 0.000, 0.000], [0.139, 0.599, 0.906], [0.861, 0.401, 0.094]], "e_form_mev_per_atom": 130, "dos_ef_per_ev_atom": 1.26}

=====

{"formula": "Pm2Nd6DyMg", "functional": "PBE-GGA", "state": "optimized geometry", "lattice": [[8.949, -1.850, -1.920], [0.985, 8.771, -2.125], [0.985, -2.448, 8.687]], "species": ["Nd", "Nd", "Nd", "Nd", "Nd", "Nd", "Nd", "Nd", "Nd", "Nd", "Nd", "Nd", "Dy", "Dy", "Mg", "Mg", "Pm", "Pm", "Pm", "Pm"], "frac_coords": [[0.053, 0.137, 0.783], [0.104, 0.724, 0.498], [0.296, 0.005, 0.429], [0.796, 0.429, 0.005], [0.704, 0.995, 0.571], [0.396, 0.502, 0.276], [0.604, 0.498, 0.724], [0.896, 0.276, 0.502], [0.447, 0.217, 0.863], [0.947, 0.863, 0.217], [0.553, 0.783, 0.137], [0.204, 0.571, 0.995], [0.750, 0.024, 0.976], [0.250, 0.976, 0.024], [0.250, 0.421, 0.579], [0.750, 0.579, 0.421], [0.549, 0.213, 0.319], [0.049, 0.319, 0.213], [0.451, 0.787, 0.681], [0.951, 0.681, 0.787]], "e_form_mev_per_atom": 108, "dos_ef_per_ev_atom": 1.29}

=====

{"formula": "PmNd6Dy2Mg", "functional": "PBE-GGA", "state": "optimized geometry", "lattice": [[8.918, -2.317, -2.404], [0.887, 8.529, -1.088], [0.887, -1.404, 8.483]], "species": ["Mg", "Mg", "Nd", "Nd", "Nd", "Nd", "Nd", "Nd", "Nd", "Nd", "Nd", "Nd", "Nd", "Nd", "Dy", "Dy", "Dy", "Dy", "Pm", "Pm"], "frac_coords": [[0.750, 0.598, 0.402], [0.250, 0.402, 0.598], [0.829, 0.463, 0.034], [0.171, 0.537, 0.966], [0.425, 0.261, 0.922], [0.404, 0.564, 0.328], [0.596, 0.436, 0.672], [0.329, 0.034, 0.463], [0.096, 0.672, 0.436], [0.575, 0.739, 0.078], [0.904, 0.328, 0.564], [0.671, 0.966, 0.537], [0.925, 0.922, 0.261], [0.075, 0.078, 0.739], [0.405, 0.800, 0.732], [0.595, 0.200, 0.268], [0.905, 0.732, 0.800], [0.095, 0.268, 0.200], [0.250, 0.935, 0.065], [0.750, 0.065, 0.935]], "e_form_mev_per_atom": 105, "dos_ef_per_ev_atom": 1.35}

=====

{"formula": "Pm4Nd2DyMg", "functional": "PBE-GGA", "state": "optimized geometry", "lattice": [[-0.533, 1.473, -4.809], [-0.587, -4.829, -1.414], [-10.694, -4.000, -0.039]], "species": ["Mg", "Nd", "Nd", "Pm", "Pm", "Pm", "Pm", "Dy"], "frac_coords": [[0.500, 0.500, 0.000], [0.000, 0.000, 0.000], [0.500, 0.000, 0.500], [0.500, 0.751, 0.248], [0.000, 0.252, 0.248], [0.000, 0.748, 0.752], [0.500, 0.249, 0.752], [0.000, 0.500, 0.500]], "e_form_mev_per_atom": 11, "dos_ef_per_ev_atom": 1.42}

=====

{"formula": "PmNd2DyMg", "functional": "PBE-GGA", "state": "optimized geometry", "lattice": [[-1.658, -0.255, 7.180], [2.364, -7.058, 0.295], [5.512, 1.902, 1.341]], "species": ["Pm", "Pm", "Nd", "Nd", "Nd", "Nd", "Mg", "Mg", "Dy", "Dy"], "frac_coords": [[0.844, 0.500, 0.250], [0.156, 0.500, 0.750], [0.312, 0.718, 0.250], [0.312, 0.282, 0.250], [0.688, 0.718, 0.750], [0.688, 0.282, 0.750], [0.000, 0.000, 0.000], [0.000, 0.000, 0.500], [0.370, 0.000, 0.750], [0.630, 0.000, 0.250]], "e_form_mev_per_atom": 156, "dos_ef_per_ev_atom": 1.61}

=====

{"formula": "Pm2NdDy2Mg", "functional": "PBE-GGA", "state": "optimized geometry", "lattice": [[-0.730, 1.258, -3.412], [-4.981, -2.382, 0.188], [-7.335, 15.926, 7.441]], "species": ["Dy", "Dy", "Dy", "Dy", "Mg", "Mg", "Pm", "Pm", "Pm", "Pm", "Nd", "Nd"], "frac_coords": [[0.000, 0.501, 0.132], [0.500, 0.001, 0.368], [0.000, 0.499, 0.868], [0.500, 0.999, 0.632], [0.500, 0.500, 0.000], [0.000, 0.000, 0.500], [0.000, 0.499, 0.688], [0.500, 0.001, 0.188], [0.000, 0.501, 0.312], [0.500, 0.999, 0.812], [0.000, 0.000, 0.000], [0.500, 0.500, 0.500]], "e_form_mev_per_atom": 89, "dos_ef_per_ev_atom": 1.48}

=====

{"formula": "PmNd2Dy4Mg", "functional": "PBE-GGA", "state": "optimized geometry", "lattice": [[4.991, 0.000, 0.000], [0.000, 4.819, 1.337], [0.000, 2.085, 11.174]], "species": ["Dy", "Dy", "Dy", "Dy", "Nd", "Nd", "Pm", "Mg"], "frac_coords": [[0.000, 0.753, 0.747], [0.000, 0.247, 0.253], [0.500, 0.747, 0.253], [0.500, 0.253, 0.747], [0.000, 0.000, 0.000], [0.500, 0.000, 0.500], [0.500, 0.500, 0.000], [0.000, 0.500, 0.500]], "e_form_mev_per_atom": 27, "dos_ef_per_ev_atom": 1.48}

=====

{"formula": "Pm5Nd2DyMg", "functional": "PBE-GGA", "state": "optimized geometry", "lattice": [[-1.460, -4.979, 1.993], [-0.189, -1.033, -10.469], [10.346, -2.991, 0.109]], "species": ["Nd", "Nd", "Nd", "Nd", "Pm", "Pm", "Pm", "Pm", "Pm", "Pm", "Pm", "Pm", "Pm", "Pm", "Mg", "Mg", "Dy", "Dy"], "frac_coords": [[0.115, 0.230, 0.298], [0.885, 0.770, 0.798], [0.885, 0.769, 0.219], [0.115, 0.231, 0.719], [0.620, 0.241, 0.508], [0.985, 0.971, 0.508], [0.288, 0.576, 0.311], [0.711, 0.423, 0.206], [0.015, 0.029, 0.008], [0.500, 0.000, 0.258], [0.712, 0.424, 0.811], [0.289, 0.577, 0.706], [0.380, 0.759, 0.008], [0.500, 0.000, 0.758], [0.405, 0.809, 0.508], [0.595, 0.191, 0.008], [0.799, 0.597, 0.508], [0.201, 0.403, 0.008]], "e_form_mev_per_atom": 87, "dos_ef_per_ev_atom": 1.42}

=====

{"formula": "Pm2Nd3Dy6Mg", "functional": "PBE-GGA", "state": "optimized geometry", "lattice": [[-6.072, 1.080, 0.493], [2.011, -5.412, -2.226], [1.452, -2.958, 11.377]], "species": ["Dy", "Dy", "Dy", "Dy", "Dy", "Dy", "Pm", "Pm", "Nd", "Nd", "Nd", "Mg"], "frac_coords": [[0.249, 0.249, 0.752], [0.414, 0.082, 0.247], [0.082, 0.414, 0.247], [0.751, 0.751, 0.248], [0.918, 0.586, 0.753], [0.586, 0.918, 0.753], [0.666, 0.334, 0.000], [0.334, 0.666, 0.000], [0.166, 0.834, 0.500], [0.500, 0.500, 0.500], [0.834, 0.166, 0.500], [0.000, 0.000, 0.000]], "e_form_mev_per_atom": 24, "dos_ef_per_ev_atom": 1.48}

=====

{"formula": "Pm6Nd2DyMg", "functional": "PBE-GGA", "state": "optimized geometry", "lattice": [[9.051, -2.014, -2.091], [0.917, 8.653, -2.021], [0.917, -2.341, 8.573]], "species": ["Pm", "Pm", "Pm", "Pm", "Pm", "Pm", "Pm", "Pm", "Pm", "Pm", "Pm", "Pm", "Nd", "Nd", "Nd", "Nd", "Mg", "Mg", "Dy", "Dy"], "frac_coords": [[0.611, 0.498, 0.714], [0.889, 0.286, 0.502], [0.389, 0.502, 0.286], [0.198, 0.571, 0.001], [0.698, 0.001, 0.571], [0.802, 0.429, 0.999], [0.302, 0.999, 0.429], [0.053, 0.131, 0.768], [0.553, 0.768, 0.131], [0.111, 0.714, 0.498], [0.947, 0.869, 0.232], [0.447, 0.232, 0.869], [0.548, 0.208, 0.309], [0.452, 0.792, 0.691], [0.048, 0.309, 0.208], [0.952, 0.691, 0.792], [0.250, 0.412, 0.588], [0.750, 0.588, 0.412], [0.250, 0.979, 0.021], [0.750, 0.021, 0.979]], "e_form_mev_per_atom": 109, "dos_ef_per_ev_atom": 1.24}

=====

{"formula": "PmNd2Dy6Mg", "functional": "PBE-GGA", "state": "optimized geometry", "lattice": [[-1.872, 4.248, 4.785], [-9.302, -5.416, 2.296], [9.488, -0.771, 5.524]], "species": ["Nd", "Nd", "Nd", "Nd", "Dy", "Dy", "Dy", "Dy", "Dy", "Dy", "Dy", "Dy", "Dy", "Dy", "Dy", "Dy", "Mg", "Mg", "Pm", "Pm"], "frac_coords": [[0.500, 0.187, 0.351], [0.000, 0.351, 0.187], [0.000, 0.649, 0.813], [0.500, 0.813, 0.649], [0.483, 0.474, 0.295], [0.529, 0.794, 0.088], [0.983, 0.295, 0.474], [0.971, 0.912, 0.206], [0.471, 0.206, 0.912], [0.017, 0.705, 0.526], [0.778, 0.436, 0.915], [0.722, 0.085, 0.564], [0.517, 0.526, 0.705], [0.278, 0.915, 0.436], [0.222, 0.564, 0.085], [0.029, 0.088, 0.794], [0.250, 0.292, 0.708], [0.750, 0.708, 0.292], [0.750, 0.008, 0.992], [0.250, 0.992, 0.008]], "e_form_mev_per_atom": 106, "dos_ef_per_ev_atom": 1.47}

=====

no.,total magnetic moment (μB per cell)
1,0.0
2,0.0
3,0.0
4,0.0
5,0.0
6,0.0
7,0.0
8,0.0
9,0.0
10,0.0
11,0.0
12,0.0